# 1
Here is crystalline Rb2NiHg2I4 at its relaxed geometry from Alexandria. Energies are from GGA-PBE.

Cell: 8.5896 8.5896 9.0058 Å, 90.00 90.00 90.00°
Space group I4/mmm (No. 139)
Symmetry-distinct sites (fractional):
Rb1 0.0000 0.5000 0.2500 (multiplicity 4)
Ni1 0.0000 0.0000 0.0000 (multiplicity 2)
Hg1 0.0000 0.0000 0.3157 (multiplicity 4)
I1 0.2189 0.2189 0.0000 (multiplicity 8)

Summary:
Calculated total energy = -2.2797 eV/atom
Size of the total moment = 0.92 μB per formula unit


# 2
Here is crystalline NiHgSbI2 at its relaxed geometry from Alexandria. Energies are from GGA-PBE.

Cell: 5.5817 5.5817 4.8615 Å, 90.00 90.00 90.00°
Space group P4/mmm (No. 123)
Symmetry-distinct sites (fractional):
Ni1 0.0000 0.0000 0.0000 (multiplicity 1)
Hg1 0.5000 0.5000 0.5000 (multiplicity 1)
Sb1 0.0000 0.0000 0.5000 (multiplicity 1)
I1 0.0000 0.5000 0.0000 (multiplicity 2)

Summary:
Calculated total energy = -2.4571 eV/atom
Size of the total moment = 0.00 μB per formula unit


# 3
Here is crystalline NiHgSb2I at its relaxed geometry from Alexandria. Energies are from GGA-PBE.

Cell: 5.0365 5.0365 5.5246 Å, 90.00 90.00 90.00°
Space group P4/mmm (No. 123)
Symmetry-distinct sites (fractional):
Ni1 0.0000 0.0000 0.0000 (multiplicity 1)
Hg1 0.5000 0.5000 0.5000 (multiplicity 1)
Sb1 0.0000 0.5000 0.0000 (multiplicity 2)
I1 0.0000 0.0000 0.5000 (multiplicity 1)

Summary:
Calculated total energy = -2.8571 eV/atom
Size of the total moment = 0.00 μB per formula unit


Which of these has the highest size of the total moment?
Rb2NiHg2I4


size of the total moment of number 2 (NiHgSbI2)?
0.00 μB per formula unit


What is the formula in the third record?
NiHgSb2I